# 1
# Li2HgPt PBE relaxed
data_Li2HgPt
_symmetry_space_group_name_H-M 'P 1'
_symmetry_Int_Tables_number 1
_cell_length_a 4.6532
_cell_length_b 4.8197
_cell_length_c 5.5840
_cell_angle_alpha 90.00
_cell_angle_beta 90.00
_cell_angle_gamma 90.00
loop_
_symmetry_equiv_pos_as_xyz
'x,y,z'
loop_
_atom_site_label
_atom_site_fract_x
_atom_site_fract_y
_atom_site_fract_z
Li1 0.5000 0.1850 0.2502
Li2 0.5000 0.1850 0.7498
Li3 0.0000 0.8150 0.7502
Li4 0.0000 0.8150 0.2498
Hg1 0.0000 0.3149 0.5000
Hg2 0.5000 0.6851 0.0000
Pt1 0.5000 0.6993 0.5000
Pt2 0.0000 0.3007 0.0000
# space-group type = Pmmn
# uncorrected energy = -2.99 eV/atom
# D(E_F) = 2.43 states/eV per cell

# 2
# Pm6YTm12 PBE relaxed
data_Pm6YTm12
_symmetry_space_group_name_H-M 'P 1'
_symmetry_Int_Tables_number 1
_cell_length_a 8.6579
_cell_length_b 8.6579
_cell_length_c 8.6579
_cell_angle_alpha 98.66
_cell_angle_beta 98.66
_cell_angle_gamma 98.66
loop_
_symmetry_equiv_pos_as_xyz
'x,y,z'
loop_
_atom_site_label
_atom_site_fract_x
_atom_site_fract_y
_atom_site_fract_z
Pm1 0.9014 0.3449 0.9014
Pm2 0.9014 0.9014 0.3449
Pm3 0.3449 0.9014 0.9014
Pm4 0.0986 0.0986 0.6551
Pm5 0.0986 0.6551 0.0986
Pm6 0.6551 0.0986 0.0986
Y1 0.0000 0.0000 0.0000
Tm1 0.7564 0.2436 0.5000
Tm2 0.3550 0.0816 0.3550
Tm3 0.3550 0.3550 0.0816
Tm4 0.9184 0.6450 0.6450
Tm5 0.6450 0.6450 0.9184
Tm6 0.6450 0.9184 0.6450
Tm7 0.5000 0.7564 0.2436
Tm8 0.2436 0.5000 0.7564
Tm9 0.2436 0.7564 0.5000
Tm10 0.5000 0.2436 0.7564
Tm11 0.7564 0.5000 0.2436
Tm12 0.0816 0.3550 0.3550
# space-group type = R-3m
# distance to the lowest polymorph of the same formula = 0.093 eV per atom
# D(E_F) = 31.46 states/eV per cell

# 3
# KCaTc2O8 PBE relaxed
data_KCaTc2O8
_symmetry_space_group_name_H-M 'P 1'
_symmetry_Int_Tables_number 1
_cell_length_a 6.0131
_cell_length_b 6.0131
_cell_length_c 7.6365
_cell_angle_alpha 90.00
_cell_angle_beta 90.00
_cell_angle_gamma 120.00
loop_
_symmetry_equiv_pos_as_xyz
'x,y,z'
loop_
_atom_site_label
_atom_site_fract_x
_atom_site_fract_y
_atom_site_fract_z
K1 0.0000 0.0000 0.0000
Ca1 0.0000 0.0000 0.5000
Tc1 0.6667 0.3333 0.2291
Tc2 0.3333 0.6667 0.7709
O1 0.3333 0.6667 0.9989
O2 0.3452 0.1733 0.3044
O3 0.8267 0.1718 0.3044
O4 0.6667 0.3333 0.0011
O5 0.1733 0.8282 0.6956
O6 0.6548 0.8267 0.6956
O7 0.1718 0.3452 0.6956
O8 0.8282 0.6548 0.3044
# formation energy from raw total energies = -1837 meV per atom
# space-group type = P-3m1
# D(E_F) = 6.99 states/eV per cell

# 4
# RbCdSnCl5 PBE relaxed
data_RbCdSnCl5
_symmetry_space_group_name_H-M 'P 1'
_symmetry_Int_Tables_number 1
_cell_length_a 7.8801
_cell_length_b 7.8801
_cell_length_c 10.2633
_cell_angle_alpha 103.70
_cell_angle_beta 103.70
_cell_angle_gamma 106.88
loop_
_symmetry_equiv_pos_as_xyz
'x,y,z'
loop_
_atom_site_label
_atom_site_fract_x
_atom_site_fract_y
_atom_site_fract_z
Rb1 0.3414 0.6586 0.2500
Rb2 0.6586 0.3414 0.7500
Cd1 0.6844 0.3156 0.2500
Cd2 0.3156 0.6844 0.7500
Sn1 0.0000 0.0000 0.5000
Sn2 0.0000 0.0000 0.0000
Cl1 0.0832 0.9168 0.2500
Cl2 0.9168 0.0832 0.7500
Cl3 0.9092 0.3251 0.1134
Cl4 0.0908 0.6749 0.8866
Cl5 0.6749 0.0908 0.3866
Cl6 0.3251 0.9092 0.6134
Cl7 0.7428 0.6189 0.4358
Cl8 0.2572 0.3811 0.5642
Cl9 0.3811 0.2572 0.0642
Cl10 0.6189 0.7428 0.9358
# formation energy from raw total energies = -1283 meV per atom
# space-group type = C2/c
# D(E_F) = 0.00 states/eV per cell

# 5
# Pm2GaFe PBE relaxed
data_Pm2GaFe
_symmetry_space_group_name_H-M 'P 1'
_symmetry_Int_Tables_number 1
_cell_length_a 3.5874
_cell_length_b 3.5874
_cell_length_c 7.2304
_cell_angle_alpha 90.00
_cell_angle_beta 90.00
_cell_angle_gamma 90.00
loop_
_symmetry_equiv_pos_as_xyz
'x,y,z'
loop_
_atom_site_label
_atom_site_fract_x
_atom_site_fract_y
_atom_site_fract_z
Fe1 0.5000 0.5000 0.0000
Ga1 0.5000 0.5000 0.5000
Pm1 0.0000 0.0000 0.7656
Pm2 0.0000 0.0000 0.2344
# space-group type = P4/mmm
# uncorrected energy = -5.37 eV/atom
# D(E_F) = 6.09 states/eV per cell

# 6
# LaFeAg2 PBE relaxed
data_LaFeAg2
_symmetry_space_group_name_H-M 'P 1'
_symmetry_Int_Tables_number 1
_cell_length_a 4.0230
_cell_length_b 4.0230
_cell_length_c 11.0457
_cell_angle_alpha 79.51
_cell_angle_beta 79.51
_cell_angle_gamma 90.00
loop_
_symmetry_equiv_pos_as_xyz
'x,y,z'
loop_
_atom_site_label
_atom_site_fract_x
_atom_site_fract_y
_atom_site_fract_z
Fe1 0.5000 0.5000 0.0000
Fe2 0.2500 0.7500 0.5000
Ag1 0.6005 0.1250 0.2500
Ag2 0.1495 0.6250 0.2500
Ag3 0.3750 0.3995 0.7500
Ag4 0.8750 0.8505 0.7500
La1 0.0000 0.0000 0.0000
La2 0.7500 0.2500 0.5000
# space-group type = I-42d
# uncorrected energy = -4.40 eV/atom
# D(E_F) = 9.93 states/eV per cell

# 7
# Li2LaCdAg4 PBE relaxed
data_Li2LaCdAg4
_symmetry_space_group_name_H-M 'P 1'
_symmetry_Int_Tables_number 1
_cell_length_a 4.6146
_cell_length_b 4.6146
_cell_length_c 9.5937
_cell_angle_alpha 76.08
_cell_angle_beta 76.08
_cell_angle_gamma 60.00
loop_
_symmetry_equiv_pos_as_xyz
'x,y,z'
loop_
_atom_site_label
_atom_site_fract_x
_atom_site_fract_y
_atom_site_fract_z
Li1 0.7684 0.7684 0.6947
Li2 0.2316 0.2316 0.3053
La1 0.0000 0.0000 0.0000
Cd1 0.5000 0.5000 0.5000
Ag1 0.3993 0.3993 0.8021
Ag2 0.8788 0.8788 0.3637
Ag3 0.1212 0.1212 0.6363
Ag4 0.6007 0.6007 0.1979
# space-group type = R-3m
# uncorrected energy = -2.80 eV/atom
# D(E_F) = 3.67 states/eV per cell

# 8
# Ni3POs PBE relaxed
data_Ni3POs
_symmetry_space_group_name_H-M 'P 1'
_symmetry_Int_Tables_number 1
_cell_length_a 4.0792
_cell_length_b 4.0792
_cell_length_c 4.0792
_cell_angle_alpha 90.00
_cell_angle_beta 90.00
_cell_angle_gamma 90.00
loop_
_symmetry_equiv_pos_as_xyz
'x,y,z'
loop_
_atom_site_label
_atom_site_fract_x
_atom_site_fract_y
_atom_site_fract_z
Ni1 0.0000 0.5000 0.0000
Ni2 0.0000 0.0000 0.5000
Ni3 0.5000 0.0000 0.0000
Os1 0.5000 0.5000 0.5000
P1 0.0000 0.0000 0.0000
# space-group type = Pm-3m
# distance to the lowest polymorph of the same formula = 0.000 eV per atom
# D(E_F) = 6.24 states/eV per cell

# 9
# NdNpAl PBE relaxed
data_NdNpAl
_symmetry_space_group_name_H-M 'P 1'
_symmetry_Int_Tables_number 1
_cell_length_a 3.5664
_cell_length_b 5.3127
_cell_length_c 7.7876
_cell_angle_alpha 97.70
_cell_angle_beta 90.00
_cell_angle_gamma 90.00
loop_
_symmetry_equiv_pos_as_xyz
'x,y,z'
loop_
_atom_site_label
_atom_site_fract_x
_atom_site_fract_y
_atom_site_fract_z
Al1 0.2500 0.0235 0.1417
Al2 0.7500 0.9765 0.8583
Np1 0.2500 0.8505 0.5154
Np2 0.7500 0.1495 0.4846
Nd1 0.2500 0.4633 0.8127
Nd2 0.7500 0.5367 0.1873
# space-group type = P2_1/m
# uncorrected energy = -7.11 eV/atom
# D(E_F) = 9.09 states/eV per cell

# 10
# Np2As4PdRh3 PBE relaxed
data_Np2As4PdRh3
_symmetry_space_group_name_H-M 'P 1'
_symmetry_Int_Tables_number 1
_cell_length_a 4.2924
_cell_length_b 4.2924
_cell_length_c 9.9508
_cell_angle_alpha 90.00
_cell_angle_beta 90.00
_cell_angle_gamma 90.00
loop_
_symmetry_equiv_pos_as_xyz
'x,y,z'
loop_
_atom_site_label
_atom_site_fract_x
_atom_site_fract_y
_atom_site_fract_z
Np1 0.5000 0.0000 0.2474
Np2 0.0000 0.5000 0.7526
As1 0.5000 0.5000 0.0000
As2 0.0000 0.0000 0.0000
As3 0.5000 0.0000 0.6393
As4 0.0000 0.5000 0.3607
Pd1 0.5000 0.5000 0.5000
Rh1 0.0000 0.0000 0.5000
Rh2 0.5000 0.0000 0.8802
Rh3 0.0000 0.5000 0.1198
# space-group type = P-4m2
# uncorrected energy = -7.71 eV/atom
# D(E_F) = 22.98 states/eV per cell